[1]
First-principles (PBE) data for an optimized crystal structure of Mn2TlPb, as listed in Alexandria via LeMat-Bulk.

Lattice parameters (Å, degrees): 7.637 7.637 6.250 90.00 90.00 90.00
Space group I-42d (No. 122)
Inequivalent atoms, fractional coordinates:
Mn1 0.248 0.750 0.125
Tl1 0.000 0.000 0.000
Pb1 0.000 0.000 0.500

Summary:
E_form = 0.6765 eV/atom
D(E_F) = 12.53 states/eV/cell

[2]
First-principles (PBE) data for an optimized crystal structure of LaTeMo3, as listed in Alexandria via LeMat-Bulk.

Lattice parameters (Å, degrees): 4.989 4.989 4.989 90.00 90.00 90.00
Space group Pm-3m (No. 221)
Inequivalent atoms, fractional coordinates:
La1 0.000 0.000 0.000
Te1 0.500 0.500 0.500
Mo1 0.000 0.500 0.500

Summary:
formation energy from raw total energies = 1.250 eV/atom
D(E_F) = 10.14 states/eV/cell

[3]
First-principles (PBE) data for an optimized crystal structure of Tb4In3Pd, as listed in Alexandria via LeMat-Bulk.

Lattice parameters (Å, degrees): 3.583 3.583 15.939 90.00 90.00 90.00
Space group P4/mmm (No. 123)
Inequivalent atoms, fractional coordinates:
Tb1 0.000 0.000 0.107
Tb2 0.000 0.000 0.369
In1 0.500 0.500 0.239
In2 0.500 0.500 0.500
Pd1 0.500 0.500 0.000

Summary:
E_form = -0.5758 eV/atom
D(E_F) = 4.97 states/eV/cell

[4]
First-principles (PBE) data for an optimized crystal structure of SmGdH, as listed in Alexandria via LeMat-Bulk.

Lattice parameters (Å, degrees): 3.415 3.415 12.203 90.00 90.00 90.00
Space group I4mm (No. 107)
Inequivalent atoms, fractional coordinates:
Sm1 0.000 0.000 0.000
Gd1 0.000 0.000 0.288
H1 0.000 0.000 0.473

Summary:
uncorrected energy = -7.516 eV/atom
D(E_F) = 5.89 states/eV/cell